Compound: Nd3DyTm3
Source: Alexandria via LeMat-Bulk
Functional: PBE
Structure: optimized geometry

density: 7.660 g/cm³
polymorph energy (0 for the lowest one): 0.154 eV/atom
energy relative to the elements: 4.03 kcal/mol of atoms
DOS(E_F): 11.31 states/eV/f.u.

Lattice parameters (Å, degrees): 6.1904 6.1904 14.8335 77.96 77.96 60.00
Element x y z (fractional)
Tm: 0.2688 0.6023 0.1933
Tm: 0.0643 0.7312 0.8067
Tm: 0.6023 0.9357 0.1933
Tm: 0.9357 0.2688 0.1933
Tm: 0.7312 0.3977 0.8067
Tm: 0.3977 0.0643 0.8067
Nd: 0.5390 0.2006 0.3912
Nd: 0.8693 0.5390 0.3912
Nd: 0.1307 0.4610 0.6088
Nd: 0.4610 0.7994 0.6088
Nd: 0.2006 0.8693 0.3912
Nd: 0.7994 0.1307 0.6088
Dy: 0.6667 0.6667 0.9999
Dy: 0.3333 0.3333 0.0001